i.
SrTaAu after structural relaxation. Source: the Alexandria database, functional GGA-PBE.

Cell: 4.751 4.751 4.751 Å, 60.00 60.00 60.00°
Positions (direct):
Sr 0.250 0.250 0.250
Au 0.750 0.750 0.750
Ta 0.500 0.500 0.500

Results
space group	F-43m, No. 216
calculated volume	25.28	Å³/atom



ii.
SrTaAu after structural relaxation. Source: the Alexandria database, functional GGA-PBE.

Cell: 5.060 5.060 12.911 Å, 90.00 90.00 120.00°
Positions (direct):
Sr 0.000 0.000 0.250
Sr 0.000 0.000 0.750
Au 0.333 0.667 0.250
Au 0.667 0.333 0.750
Ta 0.000 0.000 0.000
Ta 0.000 0.000 0.500

Results
space group	P6_3/mmc, No. 194
calculated volume	47.71	Å³/atom



Preferred: i; penalty for the next structure: 110.7 kJ/mol of atoms.